1.
Nb2TlHgO6 GGA-PBE relaxed; ΔE_f (raw) = -1803 meV/atom; space group = C2/c (15)
1.0
6.549 0.358 0.371
2.457 8.157 0.261
2.457 -0.041 8.161
O Hg Nb Tl
12 2 4 2
direct
0.148 0.893 0.702
0.109 0.649 0.191
0.352 0.298 0.107
0.039 0.628 0.573
0.391 0.809 0.351
0.961 0.372 0.427
0.609 0.191 0.649
0.852 0.107 0.298
0.539 0.573 0.628
0.648 0.702 0.893
0.891 0.351 0.809
0.461 0.427 0.372
0.250 0.151 0.849
0.750 0.849 0.151
0.217 0.441 0.280
0.717 0.280 0.441
0.283 0.720 0.559
0.783 0.559 0.720
0.250 0.891 0.109
0.750 0.109 0.891


2.
Zn2TcNi GGA-PBE relaxed; energy of formation = 0.133 eV per atom; space group = Fm-3m (225); energy above the lowest structure with this stoichiometry = 167.6 meV/atom
1.0
-3.399 -1.877 1.691
-3.768 0.327 -1.907
-1.716 -3.378 -1.893
Tc Zn Ni
1 2 1
direct
0.500 0.500 0.500
0.750 0.750 0.750
0.250 0.250 0.250
0.000 0.000 0.000


3.
Tb8Dy5Y GGA-PBE relaxed; energy of formation = 0.252 eV per atom; space group = I-4 (82)
1.0
-5.644 -6.266 0.364
7.065 -2.032 4.149
-3.720 6.742 3.459
Tb Dy Y
8 5 1
direct
0.727 0.254 0.332
0.573 0.915 0.835
0.341 0.262 0.427
0.668 0.395 0.921
0.921 0.085 0.659
0.165 0.738 0.079
0.526 0.605 0.273
0.079 0.746 0.474
0.500 0.000 0.500
0.865 0.901 0.185
0.815 0.680 0.716
0.284 0.099 0.964
0.036 0.320 0.135
0.250 0.500 0.750


4.
Ag5Te2Cl GGA-PBE relaxed; ΔE_f (raw) = -166 meV/atom; space group = Pnma (62); energy above the lowest structure with this stoichiometry = 0.0 meV/atom
1.0
-6.068 4.766 -0.951
-6.880 -10.109 -6.754
-5.408 -4.455 12.177
Ag Te Cl
40 16 8
direct
0.728 0.355 0.206
0.486 0.360 0.611
0.642 0.250 0.882
0.986 0.140 0.889
0.375 0.397 0.921
0.272 0.645 0.794
0.128 0.429 0.077
0.986 0.360 0.889
0.060 0.750 0.931
0.628 0.071 0.423
0.142 0.250 0.618
0.628 0.429 0.423
0.125 0.603 0.421
0.514 0.640 0.389
0.228 0.145 0.294
0.372 0.929 0.577
0.440 0.250 0.431
0.014 0.640 0.111
0.372 0.571 0.577
0.772 0.645 0.706
0.514 0.860 0.389
0.625 0.603 0.079
0.375 0.103 0.921
0.772 0.855 0.706
0.940 0.250 0.069
0.872 0.571 0.923
0.875 0.397 0.579
0.858 0.750 0.382
0.128 0.071 0.077
0.875 0.103 0.579
0.625 0.897 0.079
0.125 0.897 0.421
0.272 0.855 0.794
0.014 0.860 0.111
0.872 0.929 0.923
0.486 0.140 0.611
0.728 0.145 0.206
0.228 0.355 0.294
0.358 0.750 0.118
0.560 0.750 0.569
0.750 0.750 0.191
0.791 0.250 0.373
0.790 0.910 0.512
0.290 0.590 0.988
0.710 0.410 0.012
0.210 0.410 0.488
0.209 0.750 0.627
0.709 0.750 0.873
0.790 0.590 0.512
0.250 0.750 0.309
0.210 0.090 0.488
0.291 0.250 0.127
0.290 0.910 0.988
0.250 0.250 0.809
0.750 0.250 0.691
0.710 0.090 0.012
0.996 0.004 0.246
0.496 0.496 0.254
0.504 0.996 0.746
0.996 0.496 0.246
0.504 0.504 0.746
0.496 0.004 0.254
0.004 0.996 0.754
0.004 0.504 0.754


no.,N(E_F) (states/eV/f.u.),final energy (eV/atom)
1,1.253,-7.059
2,4.368,-4.541
3,21.076,-4.499
4,0.148,-2.965